No. 1
Material: LiPmMgTl2
Method: DFT, PBE
State: relaxed

## Properties
The energy relative to the elements is -0.1730 eV/atom. The calculation puts the density of states at the Fermi level at 5.36 states/eV/cell.

The structure in POSCAR format:
```
LiPmMgTl2
1.0
6.599 0.000 0.000
0.000 5.629 0.000
0.000 0.000 6.724
Tl Li Mg Pm
4 2 2 2
direct
0.731 0.250 0.261
0.269 0.750 0.739
0.731 0.250 0.739
0.269 0.750 0.261
0.000 0.500 0.000
0.000 0.000 0.000
0.631 0.750 0.000
0.369 0.250 0.000
0.775 0.750 0.500
0.225 0.250 0.500
```

=====

No. 2
Material: Li2PmTm2Mg5
Method: DFT, PBE
State: relaxed

## Properties
The energy relative to the elements is -0.0028 eV/atom. The calculation puts the density of states at the Fermi level at 16.41 states/eV/cell.

The structure in POSCAR format:
```
Li2PmTm2Mg5
1.0
-2.148 -3.876 -0.382
7.955 -3.844 -5.730
4.664 -3.450 8.788
Li Mg Tm Pm
4 10 4 2
direct
0.000 0.614 0.886
0.000 0.114 0.614
0.000 0.886 0.386
0.000 0.386 0.114
0.500 0.436 0.283
0.500 0.217 0.064
0.500 0.000 0.500
0.500 0.717 0.436
0.500 0.064 0.783
0.500 0.283 0.564
0.500 0.783 0.936
0.500 0.564 0.717
0.500 0.500 0.000
0.500 0.936 0.217
0.000 0.320 0.820
0.000 0.180 0.320
0.000 0.820 0.680
0.000 0.680 0.180
0.000 0.500 0.500
0.000 0.000 0.000
```

=====

No. 3
Material: LiPmTmMg
Method: DFT, PBE
State: relaxed

## Properties
The energy relative to the elements is 0.0384 eV/atom. The calculation puts the density of states at the Fermi level at 5.96 states/eV/cell.

The structure in POSCAR format:
```
LiPmTmMg
1.0
-1.679 2.603 4.354
-5.105 -0.373 1.532
-1.271 -2.725 4.417
Mg Tm Pm Li
1 1 1 1
direct
0.500 0.500 0.500
0.250 0.250 0.250
0.750 0.750 0.750
0.000 0.000 0.000
```

=====

No. 4
Material: Li2Pm2YMg5
Method: DFT, PBE
State: relaxed

## Properties
The energy relative to the elements is -0.0494 eV/atom. The calculation puts the density of states at the Fermi level at 17.80 states/eV/cell.

The structure in POSCAR format:
```
Li2Pm2YMg5
1.0
-1.177 -3.855 1.872
10.307 -2.441 1.456
-0.234 4.729 9.587
Mg Y Pm Li
10 2 4 4
direct
0.500 0.214 0.062
0.500 0.062 0.786
0.500 0.000 0.500
0.500 0.286 0.562
0.500 0.786 0.938
0.500 0.938 0.214
0.500 0.714 0.438
0.500 0.500 0.000
0.500 0.438 0.286
0.500 0.562 0.714
0.000 0.000 0.000
0.000 0.500 0.500
0.000 0.680 0.180
0.000 0.180 0.320
0.000 0.320 0.820
0.000 0.820 0.680
0.000 0.115 0.615
0.000 0.615 0.885
0.000 0.885 0.385
0.000 0.385 0.115
```

=====

No. 5
Material: Li2PmY2Mg5
Method: DFT, PBE
State: relaxed

## Properties
The energy relative to the elements is -0.0360 eV/atom. The calculation puts the density of states at the Fermi level at 17.91 states/eV/cell.

The structure in POSCAR format:
```
Li2PmY2Mg5
1.0
-3.307 -1.323 2.627
-4.044 -5.755 -7.991
5.805 -8.371 3.091
Mg Li Y Pm
10 4 4 2
direct
0.500 0.937 0.216
0.500 0.284 0.563
0.500 0.216 0.063
0.500 0.563 0.716
0.500 0.063 0.784
0.500 0.437 0.284
0.500 0.500 0.000
0.500 0.784 0.937
0.500 0.000 0.500
0.500 0.716 0.437
0.000 0.114 0.614
0.000 0.614 0.886
0.000 0.886 0.386
0.000 0.386 0.114
0.000 0.680 0.180
0.000 0.320 0.820
0.000 0.820 0.680
0.000 0.180 0.320
0.000 0.500 0.500
0.000 0.000 0.000
```

=====

No. 6
Material: LiPmMgZn
Method: DFT, PBE
State: relaxed

## Properties
The energy relative to the elements is -0.2159 eV/atom. The calculation puts the density of states at the Fermi level at 1.82 states/eV/cell.

The structure in POSCAR format:
```
LiPmMgZn
1.0
-0.826 -1.304 -4.700
2.533 -3.744 -2.009
-2.285 -4.267 -1.018
Zn Mg Pm Li
1 1 1 1
direct
0.250 0.250 0.250
0.500 0.500 0.500
0.000 0.000 0.000
0.750 0.750 0.750
```

=====

No. 7
Material: LiPr2Mg7
Method: DFT, PBE
State: relaxed

## Properties
The energy relative to the elements is 0.1525 eV/atom. The calculation puts the density of states at the Fermi level at 5.22 states/eV/cell.

The structure in POSCAR format:
```
LiPr2Mg7
1.0
-2.636 2.126 -6.358
-6.417 -2.403 -2.224
-5.636 4.480 -0.246
Mg Li Pr
7 1 2
direct
0.500 0.500 0.500
0.238 0.762 0.762
0.762 0.238 0.238
0.762 0.762 0.238
0.238 0.762 0.238
0.238 0.238 0.762
0.762 0.238 0.762
0.000 0.000 0.000
0.750 0.750 0.750
0.250 0.250 0.250
```

=====

No. 8
Material: LiPr6Mg5
Method: DFT, PBE
State: relaxed

## Properties
The energy relative to the elements is -0.0824 eV/atom. The calculation puts the density of states at the Fermi level at 10.84 states/eV/cell.

The structure in POSCAR format:
```
LiPr6Mg5
1.0
5.233 -0.031 1.736
0.042 7.850 0.014
-0.007 -0.016 8.706
Mg Li Pr
5 1 6
direct
0.669 0.000 0.663
0.000 0.500 0.000
0.333 0.500 0.335
0.331 0.000 0.337
0.667 0.500 0.665
0.000 0.000 0.000
0.834 0.749 0.332
0.166 0.749 0.668
0.834 0.251 0.332
0.166 0.251 0.668
0.500 0.749 0.000
0.500 0.251 0.000
```